1.
Compound: Ca5BiAu2
Source: Alexandria
Functional: GGA-PBE
Structure: relaxed

Cell: 8.0843 8.0843 9.3101 Å, 115.73 115.73 90.00°
Fractional coordinates of all 16 atoms:
Au 0.1303 0.3697 0.0000
Au 0.6303 0.1303 0.0000
Au 0.8697 0.6303 0.0000
Au 0.3697 0.8697 0.0000
Ca 0.6961 0.1961 0.7246
Ca 0.8039 0.9715 0.2754
Ca 0.3039 0.8039 0.2754
Ca 0.5000 0.5000 0.0000
Ca 0.0285 0.5285 0.7246
Ca 0.9715 0.4715 0.2754
Ca 0.5285 0.6961 0.7246
Ca 0.0000 0.0000 0.0000
Ca 0.1961 0.0285 0.7246
Ca 0.4715 0.3039 0.2754
Bi 0.2500 0.2500 0.5000
Bi 0.7500 0.7500 0.5000

Calculated values
Size of the total moment (μB/f.u.): 0.0
Energy of formation from the pure elements (eV/atom): -0.725
Uncorrected energy (eV for the cell shown): -52.49



2.
Compound: NaCu4S4
Source: Alexandria
Functional: GGA-PBE
Structure: relaxed

Cell: 3.8274 3.8274 12.1971 Å, 90.00 90.00 120.00°
Fractional coordinates of all 9 atoms:
S 0.0000 0.0000 0.9134
S 0.6667 0.3333 0.6600
S 0.3333 0.6667 0.3400
S 0.0000 0.0000 0.0866
Cu 0.3333 0.6667 0.1475
Cu 0.3333 0.6667 0.6874
Cu 0.6667 0.3333 0.3126
Cu 0.6667 0.3333 0.8525
Na 0.0000 0.0000 0.5000

Calculated values
Size of the total moment (μB/f.u.): 0.0
Uncorrected energy (eV for the cell shown): -37.59
Raw formation energy (eV per atom): -0.375



3.
Compound: La3Tb2Y
Source: Alexandria
Functional: GGA-PBE
Structure: relaxed

Cell: 3.4913 6.0330 10.5006 Å, 106.69 99.57 90.00°
Fractional coordinates of all 6 atoms:
Tb 0.3637 0.3637 0.7274
Tb 0.6363 0.6363 0.2726
La 0.0000 0.5000 0.0000
La 0.1883 0.1883 0.3766
La 0.8117 0.8117 0.6234
Y 0.0000 0.0000 0.0000

Calculated values
Size of the total moment (μB/f.u.): 0.0
Energy of formation from the pure elements (eV/atom): 0.315
Uncorrected energy (eV for the cell shown): -28.61
Energy above the lowest structure with this stoichiometry (kJ per mole of atoms): 28.8



4.
Compound: ScTaGa5
Source: Alexandria
Functional: GGA-PBE
Structure: relaxed

Cell: 5.0607 5.0606 5.3398 Å, 90.00 90.00 90.00°
Fractional coordinates of all 7 atoms:
Ga 0.5000 0.0000 0.2379
Ga 0.0000 0.5000 0.7621
Ga 0.5000 0.5000 0.5000
Ga 0.5000 0.0000 0.7621
Ga 0.0000 0.5000 0.2379
Ta 0.5000 0.5000 0.0000
Sc 0.0000 0.0000 0.5000

Calculated values
Size of the total moment (μB/f.u.): 0.0
Energy of formation from the pure elements (eV/atom): 0.019
Uncorrected energy (eV for the cell shown): -33.19



5.
Compound: La2SiMo
Source: Alexandria
Functional: GGA-PBE
Structure: relaxed

Cell: 5.4659 5.4659 5.4659 Å, 128.89 128.79 75.27°
Fractional coordinates of all 4 atoms:
La 0.9997 0.9997 0.0000
La 0.5003 0.5003 0.0000
Mo 0.7500 0.2500 0.5000
Si 0.2500 0.7500 0.5000

Calculated values
Size of the total moment (μB/f.u.): 1.5
Uncorrected energy (eV for the cell shown): -25.35
Raw formation energy (eV per atom): 0.190



6.
Compound: Tb4PrTm10
Source: Alexandria
Functional: GGA-PBE
Structure: relaxed

Cell: 10.6796 8.7087 8.7087 Å, 67.92 52.18 52.18°
Fractional coordinates of all 15 atoms:
Tm 0.0475 0.3404 0.9035
Tm 0.9525 0.6596 0.0965
Tm 0.9511 0.0965 0.3404
Tm 0.3879 0.9035 0.6596
Tm 0.2500 0.5000 0.5000
Tm 0.0489 0.9035 0.6596
Tm 0.7500 0.5000 0.5000
Tm 0.2915 0.6596 0.0965
Tm 0.7085 0.3404 0.9035
Tm 0.6121 0.0965 0.3404
Tb 0.2101 0.2363 0.3435
Tb 0.5536 0.6565 0.2363
Tb 0.4464 0.3435 0.7637
Tb 0.7899 0.7637 0.6565
Pr 0.0000 0.0000 0.0000

Calculated values
Size of the total moment (μB/f.u.): 0.0
Energy of formation from the pure elements (eV/atom): 0.484
Uncorrected energy (eV for the cell shown): -60.75